## Ca3Cu5F12 (PBE)

Data for crystalline Ca3Cu5F12 at its relaxed geometry.

a = 11.2364 Å, b = 11.2364 Å, c = 11.2364 Å
α = 109.47°, β = 109.47°, γ = 109.47°
Last column: nearest neighbours and their distance in Å.
Positions (direct):
Ca1 0.2500 0.1250 0.3750  8 F 2.41-2.44
F1 0.9537 0.5878 0.1724  2 Cu 2.05-2.18
F2 0.6724 0.2186 0.5846  2 Cu 2.05-2.18
F3 0.4122 0.3660 0.5846  2 Cu 2.05-2.18
F4 0.6340 0.0463 0.2186  2 Cu 2.05-2.18
F5 0.8660 0.2814 0.4537  2 Cu 2.05-2.18
F6 0.2186 0.6724 0.0846  2 Cu 2.05-2.18
F7 0.6724 0.4537 0.5878  2 Cu 2.05-2.18
Ca2 0.1250 0.8750 0.7500  8 F 2.41-2.44
F8 0.5846 0.8660 0.4122  2 Cu 2.05-2.18
F9 0.0846 0.9122 0.3660  2 Cu 2.05-2.18
F10 0.7186 0.1340 0.0463  2 Cu 2.05-2.18
F11 0.7814 0.4537 0.3660  2 Cu 2.05-2.18
Ca3 0.6250 0.3750 0.7500  8 F 2.41-2.44
F12 0.6340 0.5878 0.9154  2 Cu 2.05-2.18
F13 0.0846 0.1724 0.2186  2 Cu 2.05-2.18
F14 0.9154 0.0878 0.6340  2 Cu 2.05-2.18
Ca4 0.3750 0.7500 0.6250  8 F 2.41-2.44
Cu1 0.0000 0.5000 0.5000  6 F 2.18
Cu2 0.5000 0.0000 0.0000  6 F 2.18
F15 0.3660 0.9537 0.7814  2 Cu 2.05-2.18
F16 0.2814 0.4154 0.8276  2 Cu 2.05-2.18
F17 0.5878 0.6340 0.4154  2 Cu 2.05-2.18
Cu3 0.3750 0.1250 0.7500  4 F 2.05
F18 0.5878 0.9537 0.6724  2 Cu 2.05-2.18
F19 0.1340 0.4154 0.0878  2 Cu 2.05-2.18
Cu4 0.7500 0.1250 0.8750  4 F 2.05
F20 0.0878 0.1724 0.4537  2 Cu 2.05-2.18
Cu5 0.2500 0.3750 0.6250  4 F 2.05
Cu6 0.5000 0.0000 0.5000  6 F 2.18
Ca5 0.6250 0.2500 0.3750  8 F 2.41-2.44
Ca6 0.7500 0.8750 0.6250  8 F 2.41-2.44
F21 0.0878 0.9154 0.1340  2 Cu 2.05-2.18
Cu7 0.0000 0.5000 0.0000  6 F 2.18
Cu8 0.6250 0.7500 0.8750  4 F 2.05
F22 0.2186 0.5463 0.6340  2 Cu 2.05-2.18
F23 0.5463 0.3276 0.9122  2 Cu 2.05-2.18
F24 0.7186 0.5846 0.1724  2 Cu 2.05-2.18
F25 0.4154 0.2814 0.3276  2 Cu 2.05-2.18
Cu9 0.3750 0.2500 0.1250  4 F 2.05
F26 0.4154 0.1340 0.5878  2 Cu 2.05-2.18
Cu10 0.5000 0.5000 0.0000  6 F 2.18
F27 0.9122 0.8276 0.5463  2 Cu 2.05-2.18
F28 0.3276 0.5463 0.4122  2 Cu 2.05-2.18
F29 0.5463 0.2186 0.1340  2 Cu 2.05-2.18
Cu11 0.5000 0.5000 0.5000  6 F 2.18
F30 0.8660 0.5846 0.9122  2 Cu 2.05-2.18
F31 0.2814 0.8660 0.9537  2 Cu 2.05-2.18
Cu12 0.7500 0.6250 0.3750  4 F 2.05
Ca7 0.3750 0.6250 0.2500  8 F 2.41-2.44
Cu13 0.0000 0.0000 0.5000  6 F 2.18
Cu14 0.1250 0.3750 0.2500  4 F 2.05
Cu15 0.0000 0.0000 0.0000  6 F 2.18
F32 0.9154 0.8276 0.7814  2 Cu 2.05-2.18
F33 0.8276 0.9154 0.2814  2 Cu 2.05-2.18
F34 0.0463 0.6340 0.7186  2 Cu 2.05-2.18
Cu16 0.2500 0.8750 0.1250  4 F 2.05
Ca8 0.2500 0.6250 0.8750  8 F 2.41-2.44
F35 0.9122 0.0846 0.8660  2 Cu 2.05-2.18
F36 0.8276 0.9122 0.0463  2 Cu 2.05-2.18
Ca9 0.1250 0.2500 0.8750  8 F 2.41-2.44
Ca10 0.8750 0.1250 0.2500  8 F 2.41-2.44
F37 0.1724 0.0846 0.7186  2 Cu 2.05-2.18
F38 0.4122 0.0463 0.3276  2 Cu 2.05-2.18
F39 0.5846 0.7186 0.6724  2 Cu 2.05-2.18
F40 0.7814 0.3276 0.9154  2 Cu 2.05-2.18
F41 0.3276 0.7814 0.4154  2 Cu 2.05-2.18
Cu17 0.1250 0.7500 0.3750  4 F 2.05
F42 0.3660 0.4122 0.0846  2 Cu 2.05-2.18
Cu18 0.6250 0.8750 0.2500  4 F 2.05
F43 0.4537 0.7814 0.8660  2 Cu 2.05-2.18
F44 0.0463 0.4122 0.8276  2 Cu 2.05-2.18
F45 0.9537 0.3660 0.2814  2 Cu 2.05-2.18
F46 0.1724 0.0878 0.9537  2 Cu 2.05-2.18
F47 0.4537 0.6724 0.0878  2 Cu 2.05-2.18
Ca11 0.7500 0.3750 0.1250  8 F 2.41-2.44
Ca12 0.8750 0.7500 0.1250  8 F 2.41-2.44
Cu19 0.8750 0.2500 0.6250  4 F 2.05
F48 0.1340 0.7186 0.5463  2 Cu 2.05-2.18
Cu20 0.8750 0.6250 0.7500  4 F 2.05


## CaCuF (PBE)

Data for crystalline CaCuF at its relaxed geometry.

a = 4.0257 Å, b = 4.0257 Å, c = 7.7990 Å
α = 75.04°, β = 75.04°, γ = 60.00°
Last column: nearest neighbours and their distance in Å.
Positions (direct):
Ca1 0.4046 0.4046 0.7862  4 F 2.36-2.47
Ca2 0.5954 0.5954 0.2138  4 F 2.36-2.47
Cu1 0.1630 0.1630 0.5109  3 Cu 2.33
F1 0.7011 0.7011 0.8968  4 Ca 2.36-2.47
F2 0.2989 0.2989 0.1032  4 Ca 2.36-2.47
Cu2 0.8370 0.8370 0.4891  3 Cu 2.33


## CaCu3F (PBE)

Data for crystalline CaCu3F at its relaxed geometry.

a = 5.2171 Å, b = 5.2171 Å, c = 5.2171 Å
α = 90.00°, β = 90.00°, γ = 90.00°
Last column: nearest neighbours and their distance in Å.
Positions (direct):
Ca1 0.0000 0.0000 0.0000  6 Cu 2.61
F1 0.5000 0.5000 0.5000  12 Cu 3.69
Cu1 0.0000 0.5000 0.0000  2 Ca 2.61
Cu2 0.5000 0.0000 0.0000  2 Ca 2.61
Cu3 0.0000 0.0000 0.5000  2 Ca 2.61

Summary:
energy relative to the lowest polymorph listed for this composition: 5.45 eV/f.u.


## Ca2CuF6 (PBE)

Data for crystalline Ca2CuF6 at its relaxed geometry.

a = 4.1200 Å, b = 4.1200 Å, c = 8.6533 Å
α = 103.77°, β = 103.77°, γ = 90.00°
Last column: nearest neighbours and their distance in Å.
Positions (direct):
Cu1 0.5000 0.5000 0.0000  4 F 1.92
F1 0.2500 0.7500 0.5000  4 Ca 2.39
F2 0.3564 0.8128 0.1693  1 Cu 1.92
Ca1 0.1754 0.1754 0.3509  6 F 2.17-2.39
Ca2 0.8246 0.8246 0.6491  6 F 2.17-2.39
F3 0.6436 0.6436 0.8307  1 Cu 1.92
F4 0.7500 0.2500 0.5000  4 Ca 2.39
F5 0.8128 0.3564 0.1693  1 Cu 1.92
F6 0.1872 0.1872 0.8307  1 Cu 1.92

Summary:
energy relative to the lowest polymorph listed for this composition: 0.87 eV/f.u.


Record-wise formation energy without anion corrections values, in eV/atom: -2.31; -1.89; 1.08; -2.97
Record-wise final energy values, in eV per atom: -4.76; -4.55; -2.15; -5.12
Record-wise volume values, in Å³/atom: 13.651; 17.414; 28.401; 15.368